A plane-wave DFT calculation with GGA-PBE was carried out for crystalline NiRh2CN at its relaxed geometry. Values from VASP.

```
&SYSTEM
  ibrav = 0, nat = 5, ntyp = 4
/
ATOMIC_SPECIES
Ni 58.69 Ni.upf
C 12.01 C.upf
Rh 102.91 Rh.upf
N 14.01 N.upf
CELL_PARAMETERS angstrom
4.578 0.000 0.000
0.000 2.660 0.000
0.000 0.000 4.578
ATOMIC_POSITIONS crystal
Ni 0.500 0.500 0.500
C 0.000 0.000 0.000
Rh 0.000 0.000 0.500
Rh 0.500 0.000 0.000
N 0.000 0.500 0.000
```

Computed properties:
calculated density: 8.65 Mg/m³
raw formation energy: 27.5 kcal/mol of atoms
total magnetization: 0.360 μB per cell
Fermi-level density of states: 5.67 states/eV per cell


A plane-wave DFT calculation with GGA-PBE was carried out for crystalline CdNi3 at its relaxed geometry. Values from VASP.

```
&SYSTEM
  ibrav = 0, nat = 4, ntyp = 2
/
ATOMIC_SPECIES
Cd 112.41 Cd.upf
Ni 58.69 Ni.upf
CELL_PARAMETERS angstrom
2.706 0.000 0.000
-1.353 2.343 0.000
0.000 0.000 8.419
ATOMIC_POSITIONS crystal
Cd 0.000 0.000 0.000
Ni 0.000 0.000 0.500
Ni 0.333 0.667 0.275
Ni 0.333 0.667 0.725
```

Computed properties:
calculated density: 8.98 Mg/m³
total magnetization: 1.780 μB per cell
Fermi-level density of states: 7.33 states/eV per cell
formation enthalpy at 0 K: 23 kJ per mole of atoms


A plane-wave DFT calculation with GGA-PBE was carried out for crystalline InIr2Rh at its relaxed geometry. Values from VASP.

```
&SYSTEM
  ibrav = 0, nat = 4, ntyp = 3
/
ATOMIC_SPECIES
In 114.82 In.upf
Ir 192.22 Ir.upf
Rh 102.91 Rh.upf
CELL_PARAMETERS angstrom
-1.998 1.998 3.935
1.998 -1.998 3.935
1.998 1.998 -3.935
ATOMIC_POSITIONS crystal
In 0.000 0.000 0.000
Ir 0.750 0.250 0.500
Ir 0.250 0.750 0.500
Rh 0.500 0.500 0.000
```

Computed properties:
calculated density: 15.91 Mg/m³
total magnetization: 0.000 μB per cell
Fermi-level density of states: 3.88 states/eV per cell
formation enthalpy at 0 K: 3 kJ per mole of atoms


A plane-wave DFT calculation with GGA-PBE was carried out for crystalline CaPr2Zn3Pt4 at its relaxed geometry. Values from VASP.

```
&SYSTEM
  ibrav = 0, nat = 10, ntyp = 4
/
ATOMIC_SPECIES
Ca 40.08 Ca.upf
Pr 140.91 Pr.upf
Zn 65.41 Zn.upf
Pt 195.08 Pt.upf
CELL_PARAMETERS angstrom
4.177 0.000 0.000
0.000 4.177 0.000
0.000 0.000 11.853
ATOMIC_POSITIONS crystal
Ca 0.500 0.500 0.500
Pr 0.500 0.000 0.228
Pr 0.000 0.500 0.772
Zn 0.000 0.000 0.500
Zn 0.500 0.000 0.876
Zn 0.000 0.500 0.124
Pt 0.500 0.500 0.000
Pt 0.000 0.000 0.000
Pt 0.500 0.000 0.663
Pt 0.000 0.500 0.337
```

Computed properties:
calculated density: 10.43 Mg/m³
total magnetization: 0.000 μB per cell
Fermi-level density of states: 4.95 states/eV per cell
formation enthalpy at 0 K: -74 kJ per mole of atoms


A plane-wave DFT calculation with GGA-PBE was carried out for crystalline TlCd4Co at its relaxed geometry. Values from VASP.

```
&SYSTEM
  ibrav = 0, nat = 6, ntyp = 3
/
ATOMIC_SPECIES
Tl 204.38 Tl.upf
Cd 112.41 Cd.upf
Co 58.93 Co.upf
CELL_PARAMETERS angstrom
0.000 4.069 4.069
4.069 0.000 4.069
4.069 4.069 0.000
ATOMIC_POSITIONS crystal
Tl 0.000 0.000 0.000
Cd 0.873 0.376 0.376
Cd 0.376 0.376 0.873
Cd 0.376 0.873 0.376
Cd 0.376 0.376 0.376
Co 0.750 0.750 0.750
```

Computed properties:
calculated density: 8.79 Mg/m³
total magnetization: 1.744 μB per cell
Fermi-level density of states: 7.98 states/eV per cell
formation enthalpy at 0 K: 43 kJ per mole of atoms


A plane-wave DFT calculation with GGA-PBE was carried out for crystalline KHf3H at its relaxed geometry. Values from VASP.

```
&SYSTEM
  ibrav = 0, nat = 5, ntyp = 3
/
ATOMIC_SPECIES
H 1.01 H.upf
K 39.10 K.upf
Hf 178.49 Hf.upf
CELL_PARAMETERS angstrom
-3.888 2.870 1.258
-2.940 -4.035 0.119
1.085 -0.648 4.831
ATOMIC_POSITIONS crystal
H 0.500 0.500 0.500
K 0.000 0.000 0.000
Hf 0.000 0.500 0.000
Hf 0.000 0.000 0.500
Hf 0.500 0.000 0.000
```

Computed properties:
calculated density: 7.68 Mg/m³
total magnetization: 0.593 μB per cell
Fermi-level density of states: 10.67 states/eV per cell
uncorrected energy: -20.198 eV/cell


A plane-wave DFT calculation with GGA-PBE was carried out for crystalline Te7RhCl7 at its relaxed geometry. Values from VASP.

```
&SYSTEM
  ibrav = 0, nat = 30, ntyp = 3
/
ATOMIC_SPECIES
Te 127.60 Te.upf
Rh 102.91 Rh.upf
Cl 35.45 Cl.upf
CELL_PARAMETERS angstrom
-1.194 -1.651 9.438
-5.352 -9.102 1.826
7.254 -8.121 4.309
ATOMIC_POSITIONS crystal
Te 0.797 0.035 0.304
Te 0.203 0.965 0.696
Te 0.658 0.259 0.133
Te 0.342 0.741 0.867
Te 0.061 0.145 0.204
Te 0.939 0.855 0.796
Te 0.949 0.326 0.000
Te 0.051 0.674 0.000
Te 0.813 0.047 0.972
Te 0.187 0.953 0.028
Te 0.674 0.760 0.267
Te 0.326 0.240 0.733
Te 0.067 0.663 0.324
Te 0.933 0.337 0.676
Rh 0.933 0.852 0.153
Rh 0.067 0.148 0.847
Cl 0.698 0.730 0.032
Cl 0.302 0.270 0.968
Cl 0.836 0.508 0.304
Cl 0.164 0.492 0.696
Cl 0.643 0.749 0.490
Cl 0.357 0.251 0.510
Cl 0.483 0.011 0.261
Cl 0.517 0.989 0.739
Cl 0.232 0.494 0.175
Cl 0.768 0.506 0.825
Cl 0.315 0.703 0.274
Cl 0.685 0.297 0.726
Cl 0.973 0.833 0.471
Cl 0.027 0.167 0.529
```

Computed properties:
calculated density: 4.12 Mg/m³
raw formation energy: -10.7 kcal/mol of atoms
total magnetization: 0.000 μB per cell


A plane-wave DFT calculation with GGA-PBE was carried out for crystalline Ce2GaBr at its relaxed geometry. Values from VASP.

```
&SYSTEM
  ibrav = 0, nat = 8, ntyp = 3
/
ATOMIC_SPECIES
Ce 140.12 Ce.upf
Ga 69.72 Ga.upf
Br 79.90 Br.upf
CELL_PARAMETERS angstrom
4.586 0.092 0.000
-0.087 4.586 0.000
-2.250 -2.339 10.372
ATOMIC_POSITIONS crystal
Ce 0.346 0.346 0.699
Ce 0.647 0.647 0.301
Ce 0.966 0.519 0.000
Ce 0.519 0.966 0.000
Ga 0.110 0.110 0.198
Ga 0.912 0.912 0.802
Br 0.249 0.749 0.500
Br 0.749 0.249 0.500
```

Computed properties:
calculated density: 6.54 Mg/m³
raw formation energy: -15.4 kcal/mol of atoms
total magnetization: 2.041 μB per cell
Fermi-level density of states: 22.74 states/eV per cell


A plane-wave DFT calculation with GGA-PBE was carried out for crystalline CeMnC3 at its relaxed geometry. Values from VASP.

```
&SYSTEM
  ibrav = 0, nat = 10, ntyp = 3
/
ATOMIC_SPECIES
Ce 140.12 Ce.upf
Mn 54.94 Mn.upf
C 12.01 C.upf
CELL_PARAMETERS angstrom
3.821 0.000 0.000
0.000 5.385 0.000
0.000 0.000 5.390
ATOMIC_POSITIONS crystal
Ce 0.500 0.000 0.000
Ce 0.500 0.500 0.500
Mn 0.000 0.500 0.000
Mn 0.000 0.000 0.500
C 0.500 0.500 0.000
C 0.500 0.000 0.500
C 0.000 0.750 0.250
C 0.000 0.250 0.250
C 0.000 0.250 0.750
C 0.000 0.750 0.750
```

Computed properties:
calculated density: 6.92 Mg/m³
total magnetization: 0.002 μB per cell
Fermi-level density of states: 7.04 states/eV per cell
formation enthalpy at 0 K: 54 kJ per mole of atoms


A plane-wave DFT calculation with GGA-PBE was carried out for crystalline Cs3U2PaO9 at its relaxed geometry. Values from VASP.

```
&SYSTEM
  ibrav = 0, nat = 15, ntyp = 4
/
ATOMIC_SPECIES
Cs 132.91 Cs.upf
U 238.03 U.upf
Pa 231.04 Pa.upf
O 16.00 O.upf
CELL_PARAMETERS angstrom
6.260 0.000 0.000
-3.130 5.421 0.000
0.000 0.000 7.667
ATOMIC_POSITIONS crystal
Cs 0.333 0.667 0.667
Cs 0.000 0.000 0.000
Cs 0.667 0.333 0.333
U 0.333 0.667 0.166
U 0.667 0.333 0.834
Pa 0.000 0.000 0.500
O 0.832 0.168 0.668
O 0.832 0.665 0.668
O 0.335 0.168 0.668
O 0.665 0.832 0.332
O 0.168 0.335 0.332
O 0.168 0.832 0.332
O 0.500 0.000 0.000
O 0.000 0.500 0.000
O 0.500 0.500 0.000
```

Computed properties:
calculated density: 7.98 Mg/m³
raw formation energy: -66.6 kcal/mol of atoms
total magnetization: 2.000 μB per cell


A plane-wave DFT calculation with GGA-PBE was carried out for crystalline Rb2HgPb4Au3 at its relaxed geometry. Values from VASP.

```
&SYSTEM
  ibrav = 0, nat = 10, ntyp = 4
/
ATOMIC_SPECIES
Rb 85.47 Rb.upf
Hg 200.59 Hg.upf
Pb 207.20 Pb.upf
Au 196.97 Au.upf
CELL_PARAMETERS angstrom
-1.233 -4.264 -2.742
5.070 -1.019 -0.696
0.073 -6.264 9.710
ATOMIC_POSITIONS crystal
Rb 0.500 0.000 0.257
Rb 0.000 0.500 0.743
Hg 0.500 0.500 0.500
Pb 0.500 0.500 0.000
Pb 0.000 0.000 0.000
Pb 0.500 0.000 0.628
Pb 0.000 0.500 0.372
Au 0.000 0.000 0.500
Au 0.500 0.000 0.877
Au 0.000 0.500 0.123
```

Computed properties:
calculated density: 9.46 Mg/m³
total magnetization: 0.000 μB per cell
Fermi-level density of states: 6.92 states/eV per cell
formation enthalpy at 0 K: -15 kJ per mole of atoms


A plane-wave DFT calculation with GGA-PBE was carried out for crystalline HgPPt2 at its relaxed geometry. Values from VASP.

```
&SYSTEM
  ibrav = 0, nat = 4, ntyp = 3
/
ATOMIC_SPECIES
Hg 200.59 Hg.upf
P 30.97 P.upf
Pt 195.08 Pt.upf
CELL_PARAMETERS angstrom
-1.679 -2.557 4.159
0.575 2.523 4.468
-1.968 1.155 -4.631
ATOMIC_POSITIONS crystal
Hg 0.500 0.500 0.000
P 0.750 0.250 0.500
Pt 0.000 0.000 0.000
Pt 0.250 0.750 0.500
```

Computed properties:
calculated density: 15.33 Mg/m³
total magnetization: 0.000 μB per cell
Fermi-level density of states: 1.63 states/eV per cell
formation enthalpy at 0 K: 24 kJ per mole of atoms


A plane-wave DFT calculation with GGA-PBE was carried out for crystalline TlRe2Ag at its relaxed geometry. Values from VASP.

```
&SYSTEM
  ibrav = 0, nat = 4, ntyp = 3
/
ATOMIC_SPECIES
Re 186.21 Re.upf
Tl 204.38 Tl.upf
Ag 107.87 Ag.upf
CELL_PARAMETERS angstrom
4.748 -0.009 -0.002
3.891 2.721 -0.002
0.631 0.198 5.471
ATOMIC_POSITIONS crystal
Re 0.001 0.001 0.965
Re 0.748 0.748 0.796
Tl 0.498 0.498 0.488
Ag 0.253 0.253 0.251
```

Computed properties:
calculated density: 16.04 Mg/m³
total magnetization: 0.000 μB per cell
Fermi-level density of states: 3.46 states/eV per cell
formation enthalpy at 0 K: 81 kJ per mole of atoms


A plane-wave DFT calculation with GGA-PBE was carried out for crystalline YNi2Hg at its relaxed geometry. Values from VASP.

```
&SYSTEM
  ibrav = 0, nat = 8, ntyp = 3
/
ATOMIC_SPECIES
Y 88.91 Y.upf
Ni 58.69 Ni.upf
Hg 200.59 Hg.upf
CELL_PARAMETERS angstrom
7.229 0.000 0.000
0.000 7.229 0.000
3.614 3.614 2.935
ATOMIC_POSITIONS crystal
Y 0.500 0.500 0.000
Y 0.250 0.750 0.500
Ni 0.639 0.125 0.250
Ni 0.111 0.625 0.250
Ni 0.375 0.361 0.750
Ni 0.875 0.889 0.750
Hg 0.000 0.000 0.000
Hg 0.750 0.250 0.500
```

Computed properties:
calculated density: 8.81 Mg/m³
total magnetization: 0.000 μB per cell
Fermi-level density of states: 5.62 states/eV per cell
formation enthalpy at 0 K: 13 kJ per mole of atoms


A plane-wave DFT calculation with GGA-PBE was carried out for crystalline Hf3ScSe at its relaxed geometry. Values from VASP.

```
&SYSTEM
  ibrav = 0, nat = 5, ntyp = 3
/
ATOMIC_SPECIES
Sc 44.96 Sc.upf
Hf 178.49 Hf.upf
Se 78.96 Se.upf
CELL_PARAMETERS angstrom
4.963 0.000 0.000
0.000 4.963 0.000
0.000 0.000 4.963
ATOMIC_POSITIONS crystal
Sc 0.500 0.500 0.500
Hf 0.000 0.500 0.000
Hf 0.000 0.000 0.500
Hf 0.500 0.000 0.000
Se 0.000 0.000 0.000
```

Computed properties:
calculated density: 8.96 Mg/m³
raw formation energy: -0.7 kcal/mol of atoms
total magnetization: 0.000 μB per cell
Fermi-level density of states: 3.61 states/eV per cell


A plane-wave DFT calculation with GGA-PBE was carried out for crystalline MgZn2Pt2 at its relaxed geometry. Values from VASP.

```
&SYSTEM
  ibrav = 0, nat = 5, ntyp = 3
/
ATOMIC_SPECIES
Zn 65.41 Zn.upf
Mg 24.30 Mg.upf
Pt 195.08 Pt.upf
CELL_PARAMETERS angstrom
3.656 0.000 0.000
0.000 3.656 0.000
1.828 1.828 6.344
ATOMIC_POSITIONS crystal
Zn 0.750 0.250 0.500
Zn 0.250 0.750 0.500
Mg 0.000 0.000 0.000
Pt 0.396 0.396 0.208
Pt 0.604 0.604 0.792
```

Computed properties:
calculated density: 10.68 Mg/m³
total magnetization: 0.000 μB per cell
Fermi-level density of states: 1.62 states/eV per cell
formation enthalpy at 0 K: -48 kJ per mole of atoms


A plane-wave DFT calculation with GGA-PBE was carried out for crystalline YTlPt at its relaxed geometry. Values from VASP.

```
&SYSTEM
  ibrav = 0, nat = 3, ntyp = 3
/
ATOMIC_SPECIES
Pt 195.08 Pt.upf
Tl 204.38 Tl.upf
Y 88.91 Y.upf
CELL_PARAMETERS angstrom
5.519 -0.033 -0.010
2.987 4.643 0.009
-4.249 -2.314 2.659
ATOMIC_POSITIONS crystal
Pt 0.009 0.009 0.000
Tl 0.340 0.340 0.000
Y 0.651 0.651 0.000
```

Computed properties:
calculated density: 11.86 Mg/m³
total magnetization: 0.000 μB per cell
Fermi-level density of states: 0.83 states/eV per cell
formation enthalpy at 0 K: -61 kJ per mole of atoms


A plane-wave DFT calculation with GGA-PBE was carried out for crystalline Zr2BeSn at its relaxed geometry. Values from VASP.

```
&SYSTEM
  ibrav = 0, nat = 4, ntyp = 3
/
ATOMIC_SPECIES
Be 9.01 Be.upf
Sn 118.71 Sn.upf
Zr 91.22 Zr.upf
CELL_PARAMETERS angstrom
0.000 3.400 3.400
3.400 0.000 3.400
3.400 3.400 0.000
ATOMIC_POSITIONS crystal
Be 0.000 0.000 0.000
Sn 0.500 0.500 0.500
Zr 0.250 0.250 0.250
Zr 0.750 0.750 0.750
```

Computed properties:
calculated density: 6.55 Mg/m³
total magnetization: 0.000 μB per cell
Fermi-level density of states: 7.03 states/eV per cell
formation enthalpy at 0 K: -3 kJ per mole of atoms


A plane-wave DFT calculation with GGA-PBE was carried out for crystalline Li2CeMoN4 at its relaxed geometry. Values from VASP.

```
&SYSTEM
  ibrav = 0, nat = 16, ntyp = 4
/
ATOMIC_SPECIES
Li 6.94 Li.upf
Ce 140.12 Ce.upf
Mo 95.94 Mo.upf
N 14.01 N.upf
CELL_PARAMETERS angstrom
4.972 0.000 0.000
0.000 5.796 0.000
0.000 0.000 7.405
ATOMIC_POSITIONS crystal
Li 0.475 0.320 0.245
Li 0.475 0.320 0.755
Li 0.975 0.680 0.745
Li 0.975 0.680 0.255
Ce 0.956 0.210 0.500
Ce 0.456 0.790 0.000
Mo 0.498 0.814 0.500
Mo 0.998 0.186 0.000
N 0.370 0.177 0.000
N 0.870 0.823 0.500
N 0.438 0.136 0.500
N 0.938 0.864 0.000
N 0.394 0.671 0.718
N 0.894 0.329 0.218
N 0.894 0.329 0.782
N 0.394 0.671 0.282
```

Computed properties:
calculated density: 4.76 Mg/m³
raw formation energy: -19.0 kcal/mol of atoms
total magnetization: 0.000 μB per cell


A plane-wave DFT calculation with GGA-PBE was carried out for crystalline Rb6Br3ClF2 at its relaxed geometry. Values from VASP.

```
&SYSTEM
  ibrav = 0, nat = 12, ntyp = 4
/
ATOMIC_SPECIES
Rb 85.47 Rb.upf
Br 79.90 Br.upf
Cl 35.45 Cl.upf
F 19.00 F.upf
CELL_PARAMETERS angstrom
7.948 0.007 -0.004
-3.966 6.888 -0.004
-1.332 -2.307 7.660
ATOMIC_POSITIONS crystal
Rb 0.929 0.572 0.783
Rb 0.715 0.715 0.212
Rb 0.071 0.428 0.217
Rb 0.572 0.929 0.783
Rb 0.285 0.285 0.788
Rb 0.428 0.071 0.217
Br 0.160 0.840 0.500
Br 0.840 0.160 0.500
Br 0.500 0.500 0.500
Cl 0.000 0.000 0.000
F 0.332 0.668 0.000
F 0.668 0.332 0.000
```

Computed properties:
calculated density: 3.27 Mg/m³
raw formation energy: -47.0 kcal/mol of atoms
total magnetization: 0.000 μB per cell
Fermi-level density of states: 0.00 states/eV per cell